# YTa2InO, relaxed, DFT GGA-PBE
# Magnetic moment   0.00 μB per formula unit
# Raw formation energy   -645 meV/atom
# Crystal system   tetragonal
data_YTa2InO
_cell_length_a 4.287
_cell_length_b 4.287
_cell_length_c 4.895
_cell_angle_alpha 90.00
_cell_angle_beta 90.00
_cell_angle_gamma 90.00
_space_group_name_H-M_alt 'P 4/m m m'
_space_group_IT_number 123
_space_group_name_Hall '-P 4 2'
loop_
_atom_site_label
_atom_site_type_symbol
_atom_site_fract_x
_atom_site_fract_y
_atom_site_fract_z
Y1 Y 0.000 0.000 0.000
Ta1 Ta 0.000 0.500 0.500
In1 In 0.500 0.500 0.000
O1 O 0.000 0.000 0.500


# ZrTaInO6, relaxed, DFT GGA-PBE
# Magnetic moment   0.00 μB per formula unit
# Raw formation energy   -2591 meV/atom
# Crystal system   trigonal
data_ZrTaInO6
_cell_length_a 5.3872
_cell_length_b 5.3872
_cell_length_c 9.2210
_cell_angle_alpha 90.00
_cell_angle_beta 90.00
_cell_angle_gamma 120.00
_space_group_name_H-M_alt 'P -3 1 c'
_space_group_IT_number 163
_space_group_name_Hall '-P 3 2c'
loop_
_atom_site_label
_atom_site_type_symbol
_atom_site_fract_x
_atom_site_fract_y
_atom_site_fract_z
Zr1 Zr 0.3333 0.6667 0.2500
Ta1 Ta 0.3333 0.6667 0.7500
In1 In 0.0000 0.0000 0.0000
O1 O 0.0163 0.3553 0.6333


# TbInO, relaxed, DFT GGA-PBE
# Magnetic moment   0.00 μB per formula unit
# Raw formation energy   -2055 meV/atom
# Crystal system   trigonal
data_TbInO
_cell_length_a 3.7756
_cell_length_b 3.7756
_cell_length_c 31.1158
_cell_angle_alpha 90.00
_cell_angle_beta 90.00
_cell_angle_gamma 120.00
_space_group_name_H-M_alt 'R -3 m'
_space_group_IT_number 166
_space_group_name_Hall '-R 3 2"'
loop_
_atom_site_label
_atom_site_type_symbol
_atom_site_fract_x
_atom_site_fract_y
_atom_site_fract_z
Tb1 Tb 0.0000 0.0000 0.1197
In1 In 0.0000 0.0000 0.3679
O1 O 0.0000 0.0000 0.1952


# TbInO3, relaxed, DFT GGA-PBE
# Magnetic moment   0.00 μB per formula unit
# Raw formation energy   -2481 meV/atom
# Crystal system   monoclinic
data_TbInO3
_cell_length_a 5.625
_cell_length_b 3.689
_cell_length_c 8.372
_cell_angle_alpha 90.00
_cell_angle_beta 107.11
_cell_angle_gamma 90.00
_space_group_name_H-M_alt 'P 1 21/m 1'
_space_group_IT_number 11
loop_
_space_group_symop_operation_xyz
'x,y,z'
'-x,-y,-z'
'-x,y+1/2,-z'
'x,-y+1/2,z'
loop_
_atom_site_label
_atom_site_type_symbol
_atom_site_fract_x
_atom_site_fract_y
_atom_site_fract_z
Tb1 Tb 0.213 0.250 0.407
In1 In 0.427 0.250 0.836
O1 O 0.077 0.250 0.646
O2 O 0.382 0.250 0.087
O3 O 0.431 0.750 0.376


| no. | electronic total energy (eV per cell) |
| --- | --- |
| 1 | -41.1 |
| 2 | -152.4 |
| 3 | -111.0 |
| 4 | -69.3 |